1.
First-principles (PBE) data for a relaxed structure of MnPd2Pt9, as listed in the Alexandria database.

Results
DFT formation energy	-0.146	eV/atom
volume	185.2	Å³ per cell

Cell lengths 3.942, 3.942, 11.920 Å; angles 90.00, 90.00, 90.00 degrees
Each line ends with the local moment (μB).
Sites, in units of the cell vectors:
Pt 0.000 0.500 0.162  0.14
Pt 0.000 0.500 0.838  0.14
Pt 0.500 0.500 0.330  0.07
Pt 0.500 0.000 0.162  0.14
Pd 0.000 0.000 0.667  0.04
Pt 0.500 0.000 0.838  0.14
Pt 0.500 0.500 0.670  0.07
Mn 0.000 0.000 0.000  3.75
Pt 0.500 0.500 0.000  0.19
Pt 0.000 0.500 0.500  0.01
Pd 0.000 0.000 0.333  0.04
Pt 0.500 0.000 0.500  0.01

---

2.
First-principles (PBE) data for a relaxed structure of Mn2Pd3Pt, as listed in the Alexandria database.

Results
DFT formation energy	-0.260	eV/atom
energy above the lowest structure with this stoichiometry	0	meV/atom
volume	182.0	Å³ per cell

Cell lengths 3.956, 7.660, 7.393 Å; angles 121.20, 105.52, 90.00 degrees
Each line ends with the local moment (μB).
Sites, in units of the cell vectors:
Pd 0.500 0.750 0.000  0.19
Pt 0.000 0.000 0.000  0.15
Mn 0.341 0.341 0.682  3.88
Pd 0.830 0.080 0.661  0.26
Mn 0.659 0.659 0.318  3.88
Mn 0.659 0.159 0.318  3.88
Pt 0.000 0.500 0.000  0.15
Pd 0.500 0.250 0.000  0.19
Pd 0.830 0.580 0.661  0.26
Pd 0.170 0.420 0.339  0.26
Pd 0.170 0.920 0.339  0.26
Mn 0.341 0.841 0.682  3.88

---

3.
First-principles (PBE) data for a relaxed structure of MnPdPt2, as listed in the Alexandria database.

Results
DFT formation energy	0.090	eV/atom
volume	132.1	Å³ per cell

Cell lengths 7.069, 7.069, 5.655 Å; angles 51.31, 51.31, 90.00 degrees
Each line ends with the local moment (μB).
Sites, in units of the cell vectors:
Pt 0.601 0.125 0.250  0.03
Pt 0.875 0.851 0.750  0.03
Mn 0.500 0.500 0.000  3.43
Mn 0.250 0.750 0.500  3.43
Pt 0.149 0.625 0.250  0.03
Pd 0.000 0.000 0.000  -0.04
Pt 0.375 0.399 0.750  0.03
Pd 0.750 0.250 0.500  -0.04

---

4.
First-principles (PBE) data for a relaxed structure of MnPd14Pt, as listed in the Alexandria database.

Results
DFT formation energy	-0.054	eV/atom
volume	245.5	Å³ per cell

Cell lengths 5.557, 5.557, 9.170 Å; angles 90.00, 90.00, 119.87 degrees
Each line ends with the local moment (μB).
Sites, in units of the cell vectors:
Pd 0.876 0.627 0.747  0.15
Pd 0.707 0.293 0.000  -0.02
Pd 0.373 0.124 0.747  0.15
Pd 0.543 0.956 0.500  0.18
Pd 0.876 0.124 0.252  0.15
Pd 0.207 0.292 0.000  0.12
Pd 0.375 0.625 0.750  0.17
Pd 0.044 0.457 0.500  0.18
Pd 0.876 0.124 0.748  0.15
Pd 0.876 0.627 0.253  0.15
Pt 0.542 0.458 0.500  0.19
Pd 0.708 0.793 0.000  0.12
Mn 0.042 0.958 0.500  3.96
Pd 0.375 0.625 0.250  0.17
Pd 0.373 0.124 0.253  0.15
Pd 0.207 0.793 0.000  0.11

---

5.
First-principles (PBE) data for a relaxed structure of MnPd2Pt, as listed in the Alexandria database.

Results
DFT formation energy	0.161	eV/atom
volume	132.4	Å³ per cell

Cell lengths 7.071, 7.071, 5.658 Å; angles 51.33, 51.33, 90.00 degrees
Each line ends with the local moment (μB).
Sites, in units of the cell vectors:
Mn 0.500 0.500 0.000  3.85
Pd 0.140 0.625 0.250  0.12
Pt 0.000 0.000 0.000  0.10
Pd 0.375 0.390 0.750  0.12
Pd 0.875 0.860 0.750  0.11
Mn 0.250 0.750 0.500  3.85
Pd 0.610 0.125 0.250  0.13
Pt 0.750 0.250 0.500  0.10

---

6.
First-principles (PBE) data for a relaxed structure of Mn3PdPt6, as listed in the Alexandria database.

Results
DFT formation energy	-0.104	eV/atom
volume	321.2	Å³ per cell

Cell lengths 2.822, 9.454, 12.040 Å; angles 89.97, 90.00, 90.00 degrees
Each line ends with the local moment (μB).
Sites, in units of the cell vectors:
Mn 0.500 0.863 0.200  3.78
Pt 0.500 0.779 0.863  0.18
Pt 0.500 0.438 0.789  0.17
Pt 0.000 0.279 0.637  0.18
Pt 0.500 0.779 0.549  0.19
Mn 0.000 0.638 0.700  3.78
Pt 0.000 0.939 0.710  0.17
Pd 0.500 0.500 0.500  0.18
Pd 0.000 0.000 0.000  0.18
Mn 0.500 0.137 0.800  3.78
Pt 0.500 0.562 0.211  0.17
Mn 0.000 0.000 0.500  3.71
Pt 0.500 0.221 0.137  0.18
Mn 0.500 0.500 0.000  3.71
Pt 0.000 0.721 0.363  0.18
Pt 0.000 0.061 0.290  0.17
Pt 0.500 0.221 0.451  0.19
Pt 0.000 0.721 0.049  0.19
Pt 0.000 0.279 0.951  0.19
Mn 0.000 0.362 0.300  3.78

---

7.
First-principles (PBE) data for a relaxed structure of MnPd6Pt5, as listed in the Alexandria database.

Results
DFT formation energy	-0.116	eV/atom
volume	184.0	Å³ per cell

Cell lengths 3.942, 6.226, 7.904 Å; angles 90.00, 90.00, 108.46 degrees
Each line ends with the local moment (μB).
Sites, in units of the cell vectors:
Pt 0.337 0.674 0.000  0.12
Pd 0.834 0.667 0.754  0.12
Pt 0.663 0.326 0.000  0.12
Pd 0.500 0.000 0.245  0.12
Pt 0.665 0.329 0.500  0.06
Pd 0.166 0.333 0.754  0.12
Pt 0.335 0.671 0.500  0.06
Mn 0.000 0.000 0.000  3.80
Pd 0.166 0.333 0.246  0.12
Pt 0.000 0.000 0.500  0.01
Pd 0.500 0.000 0.755  0.12
Pd 0.834 0.667 0.246  0.12

---

8.
First-principles (PBE) data for a relaxed structure of Mn2Pd3Pt, as listed in the Alexandria database.

Results
DFT formation energy	-0.080	eV/atom
energy above the lowest structure with this stoichiometry	180	meV/atom
volume	191.2	Å³ per cell

Cell lengths 5.741, 5.741, 6.446 Å; angles 77.54, 77.54, 105.57 degrees
Each line ends with the local moment (μB).
Sites, in units of the cell vectors:
Pt 0.857 0.143 0.750  0.25
Mn 0.822 0.411 0.383  3.81
Pt 0.143 0.857 0.250  0.25
Pd 0.703 0.908 0.444  0.20
Pd 0.297 0.092 0.556  0.20
Mn 0.178 0.589 0.617  3.81
Pd 0.092 0.297 0.056  0.20
Mn 0.589 0.178 0.117  3.81
Pd 0.447 0.553 0.250  0.23
Pd 0.553 0.447 0.750  0.23
Mn 0.411 0.822 0.883  3.81
Pd 0.908 0.703 0.944  0.20

---

9.
First-principles (PBE) data for a relaxed structure of Mn4PdPt3, as listed in the Alexandria database.

Results
DFT formation energy	-0.320	eV/atom
volume	121.2	Å³ per cell

Cell lengths 4.194, 4.194, 7.501 Å; angles 106.15, 106.24, 90.00 degrees
Each line ends with the local moment (μB).
Sites, in units of the cell vectors:
Pt 0.250 0.750 0.501  0.40
Mn 0.125 0.125 0.250  3.89
Pd 0.500 0.000 0.000  0.37
Mn 0.375 0.375 0.750  3.89
Mn 0.625 0.625 0.250  3.89
Pt 0.000 0.500 0.000  0.40
Pt 0.750 0.250 0.499  0.40
Mn 0.875 0.875 0.750  3.89

---

10.
First-principles (PBE) data for a relaxed structure of MnPd2Pt2, as listed in the Alexandria database.

Results
DFT formation energy	0.031	eV/atom
energy above the lowest structure with this stoichiometry	0	meV/atom
volume	166.6	Å³ per cell

Cell lengths 6.614, 6.614, 3.808 Å; angles 90.00, 90.00, 90.00 degrees
Each line ends with the local moment (μB).
Sites, in units of the cell vectors:
Mn 0.500 0.500 0.000  3.84
Pt 0.642 0.142 0.000  0.12
Pt 0.858 0.642 0.000  0.12
Pd 0.842 0.342 0.500  0.09
Pd 0.658 0.842 0.500  0.07
Mn 0.000 0.000 0.000  3.84
Pt 0.358 0.858 0.000  0.12
Pd 0.342 0.158 0.500  0.07
Pd 0.158 0.658 0.500  0.09
Pt 0.142 0.358 0.000  0.12